Entry from the Alexandria database: a relaxed ZrCd3Te crystal (PBE).

Structure (POSCAR):
```
ZrCd3Te
1.0
5.529 0.000 0.000
0.000 5.529 0.000
0.000 0.000 5.529
Zr Cd Te
1 3 1
direct
0.000 0.000 0.000
0.000 0.500 0.500
0.500 0.000 0.500
0.500 0.500 0.000
0.500 0.500 0.500
```

## Properties
Raw formation energy in meV per atom: 972.8
Space group: Pm-3m (221)

Entry from the Alexandria database: a relaxed ZrCdTe2 crystal (PBE).

Structure (POSCAR):
```
ZrCdTe2
1.0
3.712 0.000 0.000
0.000 3.702 0.000
-0.095 0.000 7.266
Zr Cd Te
1 1 2
direct
0.000 0.000 0.000
0.000 0.000 0.500
0.495 0.500 0.775
0.505 0.500 0.225
```

## Properties
Raw formation energy in meV per atom: -503.2
Space group: P2/m (10)

Entry from the Alexandria database: a relaxed ZrCdTe4 crystal (PBE).

Structure (POSCAR):
```
ZrCdTe4
1.0
0.000 4.458 4.458
4.458 0.000 4.458
4.458 4.458 0.000
Zr Cd Te
1 1 4
direct
0.000 0.000 0.000
0.750 0.750 0.750
0.374 0.374 0.374
0.374 0.374 0.877
0.374 0.877 0.374
0.877 0.374 0.374
```

## Properties
Raw formation energy in meV per atom: 495.4
Space group: F-43m (216)

Entry from the Alexandria database: a relaxed ZrCdTe2 crystal (PBE).

Structure (POSCAR):
```
ZrCdTe2
1.0
3.627 -3.646 0.000
3.627 3.646 0.000
-0.014 0.000 3.725
Zr Cd Te
1 1 2
direct
0.000 0.000 0.000
0.500 0.500 0.000
0.000 0.500 0.500
0.500 0.000 0.500
```

## Properties
Raw formation energy in meV per atom: -227.8
Space group: C2/m (12)

Entry from the Alexandria database: a relaxed ZrCdTe crystal (PBE).

Structure (POSCAR):
```
ZrCdTe
1.0
0.000 3.474 3.474
3.474 0.000 3.474
3.474 3.474 0.000
Zr Cd Te
1 1 1
direct
0.000 0.000 0.000
0.250 0.250 0.250
0.750 0.750 0.750
```

## Properties
Raw formation energy in meV per atom: 19.0
Space group: F-43m (216)

Entry from the Alexandria database: a relaxed Zr3CdTe crystal (PBE).

Structure (POSCAR):
```
Zr3CdTe
1.0
5.273 0.000 0.000
0.000 5.273 0.000
0.000 0.000 5.273
Zr Cd Te
3 1 1
direct
0.000 0.000 0.500
0.000 0.500 0.000
0.500 0.000 0.000
0.500 0.500 0.500
0.000 0.000 0.000
```

## Properties
Raw formation energy in meV per atom: 529.6
Space group: Pm-3m (221)

Entry from the Alexandria database: a relaxed ThCd4 crystal (PBE).

Structure (POSCAR):
```
ThCd4
1.0
6.202 0.000 0.000
0.000 6.202 0.000
0.000 0.000 6.202
Th Cd
1 4
direct
0.000 0.000 0.000
0.000 0.000 0.500
0.000 0.500 0.000
0.500 0.000 0.000
0.500 0.500 0.500
```

## Properties
DFT formation energy in eV/atom: 0.94
Space group: Pm-3m (221)

Entry from the Alexandria database: a relaxed ThCd11 crystal (PBE).

Structure (POSCAR):
```
ThCd11
1.0
-5.935 5.935 3.914
5.935 -5.935 3.914
5.935 5.935 -3.914
Th Cd
2 22
direct
0.375 0.625 0.750
0.625 0.375 0.250
0.000 0.000 0.000
0.000 0.000 0.500
0.000 0.500 0.000
0.121 0.549 0.332
0.121 0.789 0.572
0.125 0.875 0.250
0.211 0.283 0.332
0.211 0.879 0.928
0.283 0.211 0.832
0.283 0.451 0.072
0.451 0.283 0.572
0.451 0.879 0.168
0.500 0.000 0.500
0.549 0.121 0.832
0.549 0.717 0.428
0.717 0.549 0.928
0.717 0.789 0.168
0.789 0.121 0.072
0.789 0.717 0.668
0.875 0.125 0.750
0.879 0.211 0.428
0.879 0.451 0.668
```

## Properties
DFT formation energy in eV/atom: -0.02
Space group: I4_1/amd (141)

Entry from the Alexandria database: a relaxed Th2Cd7 crystal (PBE).

Structure (POSCAR):
```
Th2Cd7
1.0
2.988 1.725 14.318
-2.988 1.725 14.318
0.000 -3.451 14.318
Th Cd
4 14
direct
0.051 0.051 0.051
0.151 0.151 0.151
0.849 0.849 0.849
0.949 0.949 0.949
0.000 0.500 0.500
0.105 0.615 0.615
0.278 0.278 0.278
0.385 0.385 0.895
0.385 0.895 0.385
0.390 0.390 0.390
0.500 0.000 0.500
0.500 0.500 0.000
0.500 0.500 0.500
0.610 0.610 0.610
0.615 0.105 0.615
0.615 0.615 0.105
0.722 0.722 0.722
0.895 0.385 0.385
```

## Properties
DFT formation energy in eV/atom: -0.08
Space group: R-3m (166)

Entry from the Alexandria database: a relaxed Th3Cd crystal (PBE).

Structure (POSCAR):
```
Th3Cd
1.0
0.000 3.933 3.933
3.933 0.000 3.933
3.933 3.933 0.000
Th Cd
3 1
direct
0.000 0.000 0.000
0.250 0.250 0.250
0.750 0.750 0.750
0.500 0.500 0.500
```

## Properties
DFT formation energy in eV/atom: 0.12
Space group: Fm-3m (225)

Entry from the Alexandria database: a relaxed Th5Cd3 crystal (PBE).

Structure (POSCAR):
```
Th5Cd3
1.0
3.417 0.000 0.000
0.000 3.417 0.000
0.000 0.000 20.014
Th Cd
5 3
direct
0.000 0.000 0.000
0.000 0.000 0.241
0.000 0.000 0.759
0.500 0.500 0.378
0.500 0.500 0.622
0.000 0.000 0.500
0.500 0.500 0.119
0.500 0.500 0.881
```

## Properties
DFT formation energy in eV/atom: -0.04
Space group: P4/mmm (123)

Entry from the Alexandria database: a relaxed ThCd6 crystal (PBE).

Structure (POSCAR):
```
ThCd6
1.0
4.899 0.000 0.000
0.000 4.899 0.000
0.000 0.000 7.469
Th Cd
1 6
direct
0.000 0.000 0.000
0.000 0.000 0.500
0.000 0.500 0.287
0.000 0.500 0.713
0.500 0.000 0.287
0.500 0.000 0.713
0.500 0.500 0.000
```

## Properties
DFT formation energy in eV/atom: -0.09
Space group: P4/mmm (123)

What is the formula in the first record?
ZrCd3Te